VASP calculation (PBE-GGA) on a relaxed structure of LaRhW2.

Structure (CIF):
```
data_LaRhW2
_cell_length_a 3.350
_cell_length_b 4.742
_cell_length_c 9.298
_cell_angle_alpha 90.00
_cell_angle_beta 90.00
_cell_angle_gamma 90.00
_space_group_name_H-M_alt 'C m m 2'
_space_group_IT_number 35
loop_
_space_group_symop_operation_xyz
'x,y,z'
'-x,-y,z'
'-x,y,z'
'x,-y,z'
'x+1/2,y+1/2,z'
'-x+1/2,-y+1/2,z'
'-x+1/2,y+1/2,z'
'x+1/2,-y+1/2,z'
loop_
_atom_site_label
_atom_site_fract_x
_atom_site_fract_y
_atom_site_fract_z
_atom_site_occupancy
La1 0.000 0.000 0.000 1
Rh1 0.000 0.500 0.269 1
W1 0.000 0.000 0.485 1
W2 0.000 0.500 0.707 1
```

Output
DFT total energy (Ha/atom): -0.340
Total moment (μB per formula unit): 0.000
Energy relative to the elements (eV per atom): 0.295

VASP calculation (PBE-GGA) on a relaxed structure of La2RhW.

Structure (CIF):
```
data_La2RhW
_cell_length_a 5.102
_cell_length_b 5.102
_cell_length_c 3.644
_cell_angle_alpha 90.00
_cell_angle_beta 90.00
_cell_angle_gamma 90.00
_space_group_name_H-M_alt 'P 4/m m m'
_space_group_IT_number 123
_space_group_name_Hall '-P 4 2'
loop_
_atom_site_label
_atom_site_fract_x
_atom_site_fract_y
_atom_site_fract_z
_atom_site_occupancy
La1 0.000 0.500 0.000 1
Rh1 0.000 0.000 0.500 1
W1 0.500 0.500 0.500 1
```

Output
DFT total energy (Ha/atom): -0.267
Total moment (μB per formula unit): 1.431
Energy relative to the elements (eV per atom): 0.274

no.,relative energy among the computed polymorphs (meV per atom)
1,105
2,225